# 1
LiV2I8 | Alexandria | PBE | relaxed; energy = -0.2556 Ry/atom; size of the total moment = 3.000 Bohr magnetons per cell; formation energy (no corrections) = -11.95 kcal/mol of atoms
1.0
8.556 -0.338 1.168
0.298 7.093 0.369
-0.677 -0.338 8.608
V I Li
2 8 1
Cartesian
6.422 4.041 7.970
1.754 2.375 2.176
3.228 1.449 4.006
6.332 5.228 1.660
0.275 5.228 6.540
7.900 1.188 3.606
6.358 1.498 7.891
1.844 1.188 8.487
4.948 4.967 6.141
1.818 4.918 2.256
0.000 0.000 0.000

***

# 2
Li2YVI | Alexandria | PBE | relaxed; energy = -0.2731 Ry/atom; size of the total moment = 4.365 Bohr magnetons per cell; formation energy (no corrections) = 10.99 kcal/mol of atoms
1.0
-1.558 0.062 4.643
5.200 -2.219 1.774
1.758 4.541 0.529
Li V Y I
2 1 1 1
Cartesian
-0.779 0.031 2.322
0.879 2.271 0.264
2.700 1.192 3.473
2.600 -1.109 0.887
0.000 0.000 0.000

***

# 3
LiVZn2I | Alexandria | PBE | relaxed; energy = -0.1794 Ry/atom; size of the total moment = 4.583 Bohr magnetons per cell; formation energy (no corrections) = 13.49 kcal/mol of atoms
1.0
5.041 0.000 0.000
0.000 5.952 0.000
0.000 0.000 5.041
Zn Li V I
2 1 1 1
Cartesian
2.520 0.000 0.000
0.000 0.000 2.520
0.000 2.976 0.000
0.000 0.000 0.000
2.520 2.976 2.520

***

# 4
LiWI2 | Alexandria | PBE | relaxed; energy = -0.2787 Ry/atom; size of the total moment = 0.924 Bohr magnetons per cell; formation energy (no corrections) = 16.15 kcal/mol of atoms
1.0
0.261 -1.388 4.693
-4.105 -0.896 2.522
-1.146 -4.594 1.264
I W Li
2 1 1
Cartesian
-1.248 -1.720 2.120
-3.743 -5.159 6.359
-2.495 -3.439 4.239
0.000 0.000 0.000

***

# 5
LiWI2 | Alexandria | PBE | relaxed; energy = -0.2797 Ry/atom; size of the total moment = 0.000 Bohr magnetons per cell; formation energy (no corrections) = 15.84 kcal/mol of atoms
1.0
-2.705 -2.095 -5.376
-5.355 -1.298 3.200
-6.032 3.784 -2.216
W I Li
2 4 2
Cartesian
-6.384 -0.004 -4.340
0.000 0.000 0.000
-11.642 -0.147 -3.527
-7.481 1.581 -2.517
-5.160 -0.101 0.840
-3.901 -0.551 -3.580
-7.709 0.395 -0.052
-4.030 -1.696 -1.088

***

# 6
Li5Y3I12 | Alexandria | PBE | relaxed; energy = -0.2554 Ry/atom; size of the total moment = 8.097 Bohr magnetons per cell; formation energy (no corrections) = -25.31 kcal/mol of atoms
1.0
15.202 0.000 0.000
-5.067 14.332 0.000
-5.067 -7.166 12.412
I Y Li
48 12 20
Cartesian
8.967 -4.952 10.841
1.366 1.116 7.338
6.973 7.901 6.678
1.905 5.416 8.437
10.077 1.542 0.472
-3.162 8.182 9.710
2.476 9.570 5.106
1.937 1.923 11.281
10.192 -3.220 7.777
-5.125 10.387 4.635
8.229 -1.016 2.703
9.506 0.734 5.735
-5.010 5.624 11.941
3.130 5.243 1.132
7.658 12.790 0.472
10.731 7.148 2.231
-5.664 0.018 10.181
-1.937 -0.018 10.181
-0.628 1.016 2.703
3.130 9.108 1.100
7.005 7.185 2.231
6.434 2.214 1.571
3.162 1.750 3.975
-1.366 -3.837 8.909
5.664 -1.923 11.281
5.696 6.150 9.710
3.701 6.051 5.075
-1.167 8.282 5.075
0.628 8.917 8.437
-3.900 12.119 1.571
-1.905 -0.734 5.735
1.937 -1.942 11.313
6.235 -1.116 7.338
-0.596 5.225 1.100
7.658 3.946 4.635
0.057 4.763 5.106
4.439 -1.750 3.975
11.302 3.329 3.503
-2.591 3.220 7.777
-4.439 6.432 6.678
-2.591 -5.624 11.941
6.434 11.003 3.503
-6.235 3.837 8.909
5.010 2.404 7.306
5.664 1.942 11.313
2.591 -2.404 7.306
-0.596 9.089 1.132
-1.366 4.952 10.841
6.334 0.896 4.655
3.800 8.062 7.758
8.868 4.479 1.552
3.800 0.000 9.309
1.267 7.166 3.103
-1.267 6.270 7.758
-6.334 7.166 9.309
1.267 -0.896 4.655
11.401 0.000 3.103
-3.800 -2.687 10.861
-3.800 2.687 10.861
8.868 9.854 1.552
-1.267 11.645 1.552
-2.534 7.166 0.000
3.800 2.687 1.552
5.067 -3.583 6.206
-1.267 0.896 7.758
6.334 3.583 9.309
1.267 4.479 10.861
7.601 0.000 0.000
-3.800 8.062 4.655
6.334 -4.479 10.861
8.868 -0.896 7.758
-2.534 -3.583 6.206
0.000 0.000 0.000
-5.067 3.583 6.206
6.334 6.270 4.655
3.800 10.749 3.103
2.534 3.583 6.206
1.267 -3.583 9.309
5.067 7.166 0.000
-1.267 3.583 3.103